1.
Below is TmGe3Os2 after structural relaxation, with properties calculated at the GGA-PBE level.

Formation energy from the elements ... 0.012 eV per atom
Magnetization ... 0.0 μB/cell
V ... 19.997 Å³ per atom

Cell: 6.362 6.362 5.928 Å, 90.00 90.00 89.66°
Fractional coordinates of all 12 atoms:
Tm (0.237, 0.763, 0.750)
Tm (0.763, 0.237, 0.250)
Ge (0.151, 0.849, 0.250)
Ge (0.303, 0.429, 0.250)
Ge (0.429, 0.303, 0.750)
Ge (0.571, 0.697, 0.250)
Ge (0.697, 0.571, 0.750)
Ge (0.849, 0.151, 0.750)
Os (0.164, 0.164, 0.000)
Os (0.164, 0.164, 0.500)
Os (0.836, 0.836, 0.000)
Os (0.836, 0.836, 0.500)



2.
Below is Tm2Ge4Os3 after structural relaxation, with properties calculated at the GGA-PBE level.

Formation energy from the elements ... -0.299 eV per atom
Magnetization ... 0.0 μB/cell
V ... 18.288 Å³ per atom

Cell: 7.870 6.803 5.543 Å, 78.47 57.89 43.64°
Fractional coordinates of all 9 atoms:
Tm (0.130, 0.130, 0.870)
Tm (0.870, 0.870, 0.130)
Ge (0.175, 0.505, 0.495)
Ge (0.495, 0.825, 0.175)
Ge (0.505, 0.175, 0.825)
Ge (0.825, 0.495, 0.505)
Os (0.000, 0.000, 0.500)
Os (0.500, 0.500, 0.000)
Os (0.500, 0.500, 0.500)